No. 1
# Ba2LaSe2, relaxed, DFT PBE-GGA
# Crystal system: tetragonal
# Raw formation energy (meV per atom): -1409
# D(E_F) (states/eV per cell): 8.25
# V (Å³/cell): 339
data_Ba2LaSe2
_space_group_name_H-M_alt 'P 1'
_space_group_IT_number 1
_space_group_name_Hall 'P 1'
_cell_length_a 8.591
_cell_length_b 8.591
_cell_length_c 4.589
_cell_angle_alpha 90.00
_cell_angle_beta 90.00
_cell_angle_gamma 90.00
loop_
_atom_site_label
_atom_site_fract_x
_atom_site_fract_y
_atom_site_fract_z
_atom_site_occupancy
La1 0.000 0.000 0.000 1
Ba1 0.651 0.849 0.500 1
Ba2 0.849 0.349 0.500 1
Se1 0.338 0.838 0.000 1
Ba3 0.151 0.651 0.500 1
Se2 0.162 0.338 0.000 1
Se3 0.662 0.162 0.000 1
Se4 0.838 0.662 0.000 1
La2 0.500 0.500 0.000 1
Ba4 0.349 0.151 0.500 1

No. 2
# Ba2LaSe, relaxed, DFT PBE-GGA
# Crystal system: orthorhombic
# Raw formation energy (meV per atom): -386
# D(E_F) (states/eV per cell): 5.34
# V (Å³/cell): 144
data_Ba2LaSe
_space_group_name_H-M_alt 'P 1'
_space_group_IT_number 1
_space_group_name_Hall 'P 1'
_cell_length_a 4.297
_cell_length_b 5.826
_cell_length_c 5.747
_cell_angle_alpha 90.00
_cell_angle_beta 90.00
_cell_angle_gamma 90.00
loop_
_atom_site_label
_atom_site_fract_x
_atom_site_fract_y
_atom_site_fract_z
_atom_site_occupancy
Ba1 0.000 0.000 0.000 1
Se1 0.000 0.500 0.500 1
La1 0.500 0.000 0.500 1
Ba2 0.500 0.500 0.000 1

Q: D(E_F) of number 2 (Ba2LaSe)?
A: 5.34 states/eV per cell